Record 1
# LaUAg2S6

A relaxed LaUAg2S6 crystal (PBE, the Alexandria database).

Geometry as extended XYZ:
```
20
Lattice="6.211 0.000 -0.371 0.000 7.712 0.000 -0.481 0.000 10.318" Properties=species:S:1:pos:R:3 pbc="T T T"
La 3.105 0.000 -0.186
La -0.241 3.856 5.159
U 2.865 0.000 4.973
U 0.000 3.856 0.000
Ag 5.906 6.892 3.155
Ag 2.560 4.677 8.499
Ag -0.177 0.820 6.791
Ag 3.170 3.036 1.447
S 1.960 5.267 0.722
S 4.825 6.302 5.696
S 3.769 2.446 9.224
S 0.904 1.410 4.251
S 1.814 5.569 4.096
S 4.679 5.999 9.069
S 3.915 2.143 5.850
S 1.051 1.713 0.877
S 5.223 4.401 2.034
S 1.877 7.167 7.378
S 0.506 3.311 7.913
S 3.853 0.545 2.568
```

Results
**Theoretical density**: 5.29 g/cm³
**Volume**: 492.8 Å³/cell
**DFT total energy**: -5.57 eV/atom

Record 2
# LaAg2WS

A relaxed LaAg2WS crystal (PBE, the Alexandria database).

Geometry as extended XYZ:
```
5
Lattice="4.777 0.000 0.000 0.000 5.478 0.000 0.000 0.000 4.777" Properties=species:S:1:pos:R:3 pbc="T T T"
S 0.000 0.000 0.000
Ag 0.000 0.000 2.389
Ag 2.389 0.000 0.000
W 2.389 2.739 2.389
La 0.000 2.739 0.000
```

Results
**Theoretical density**: 7.58 g/cm³
**Volume**: 125.0 Å³/cell
**DFT total energy**: -4.82 eV/atom

Record 3
# LaZnAgS2

A relaxed LaZnAgS2 crystal (PBE, the Alexandria database).

Geometry as extended XYZ:
```
5
Lattice="-0.508 -0.697 5.404 0.281 -5.855 -0.728 5.442 0.195 0.536" Properties=species:S:1:pos:R:3 pbc="T T T"
Zn 0.141 -2.927 -0.364
S 2.721 0.097 0.268
S -0.254 -0.348 2.702
Ag 2.608 -3.178 2.606
La 0.000 0.000 0.000
```

Results
**Theoretical density**: 3.53 g/cm³
**Volume**: 176.9 Å³/cell
**DFT total energy**: -3.49 eV/atom

Record 4
# LaAg2Sb2

A relaxed LaAg2Sb2 crystal (PBE, the Alexandria database).

Geometry as extended XYZ:
```
10
Lattice="-2.433 4.310 -5.769 -2.881 -6.608 -2.409 -1.882 1.911 5.959" Properties=species:S:1:pos:R:3 pbc="T T T"
La -3.290 -4.613 -1.387
La -3.907 4.225 -0.833
Ag -4.422 1.192 -2.617
Ag -3.579 2.688 2.358
Ag -3.617 -3.076 -4.577
Ag -2.774 -1.579 0.397
Sb -3.158 -1.409 -2.373
Sb -2.964 3.306 -3.824
Sb -4.232 -3.694 1.604
Sb -4.038 1.022 0.153
```

Results
**Theoretical density**: 7.05 g/cm³
**Volume**: 281.7 Å³/cell
**Relative energy among the computed polymorphs**: 100 kJ/mol of formula units

Record 5
# LaAg2Sb

A relaxed LaAg2Sb crystal (PBE, the Alexandria database).

Geometry as extended XYZ:
```
8
Lattice="-3.968 -0.183 2.280 1.057 -4.195 1.503 3.181 1.991 10.297" Properties=species:S:1:pos:R:3 pbc="T T T"
Sb -1.455 -2.189 1.891
Sb 1.391 -2.197 6.846
Ag -1.315 -0.130 4.050
Ag 0.722 -2.158 3.935
Ag 1.358 -0.400 9.231
Ag -0.225 -2.086 10.943
La 0.000 0.000 0.000
La -1.121 -0.191 7.234
```

Results
**Theoretical density**: 7.20 g/cm³
**Volume**: 219.6 Å³/cell
**DFT total energy**: -3.96 eV/atom

Record 6
# LaAgSb

A relaxed LaAgSb crystal (PBE, the Alexandria database).

Geometry as extended XYZ:
```
3
Lattice="-0.667 -4.901 -3.647 3.083 -4.198 -3.265 0.378 -3.151 2.153" Properties=species:S:1:pos:R:3 pbc="T T T"
Sb 1.693 -6.990 -3.697
Ag 0.405 -3.230 2.033
La 1.074 -5.182 -0.942
```

Results
**Theoretical density**: 7.54 g/cm³
**Volume**: 81.1 Å³/cell
**DFT total energy**: -4.38 eV/atom

Record 7
# LaAg2Sb

A relaxed LaAg2Sb crystal (PBE, the Alexandria database).

Geometry as extended XYZ:
```
4
Lattice="3.315 0.000 0.000 0.000 4.192 0.000 0.000 0.000 7.110" Properties=species:S:1:pos:R:3 pbc="T T T"
Sb 1.658 2.096 5.517
Ag 0.000 0.000 0.173
Ag 1.658 2.096 1.402
La 0.000 0.000 3.571
```

Results
**Theoretical density**: 8.01 g/cm³
**Volume**: 98.8 Å³/cell
**DFT total energy**: -3.94 eV/atom

Record 8
# LaAgSb2

A relaxed LaAgSb2 crystal (PBE, the Alexandria database).

Geometry as extended XYZ:
```
4
Lattice="-3.480 -2.627 3.099 -3.916 -2.885 -2.226 0.141 -5.342 0.247" Properties=species:S:1:pos:R:3 pbc="T T T"
Sb -1.814 -2.714 0.280
Sb -5.441 -8.141 0.840
Ag 0.000 0.000 0.000
La -3.628 -5.427 0.560
```

Results
**Theoretical density**: 7.52 g/cm³
**Volume**: 108.3 Å³/cell
**Relative energy among the computed polymorphs**: 139 kJ/mol of formula units

Record 9
# La3AgSb

A relaxed La3AgSb crystal (PBE, the Alexandria database).

Geometry as extended XYZ:
```
5
Lattice="-3.272 4.707 0.318 -4.598 -3.268 1.065 1.054 0.353 5.633" Properties=species:S:1:pos:R:3 pbc="T T T"
Sb -3.408 0.896 3.508
Ag 0.000 0.000 0.000
La -2.299 -1.634 0.533
La 0.527 0.176 2.816
La -1.636 2.354 0.159
```

Results
**Theoretical density**: 5.67 g/cm³
**Volume**: 189.3 Å³/cell
**DFT total energy**: -4.41 eV/atom

Record 10
# LaAgSb2

A relaxed LaAgSb2 crystal (PBE, the Alexandria database).

Geometry as extended XYZ:
```
8
Lattice="4.448 0.000 0.000 0.000 4.448 0.000 0.000 0.000 10.856" Properties=species:S:1:pos:R:3 pbc="T T T"
La 0.000 2.224 2.834
La 2.224 0.000 8.022
Ag 0.000 0.000 0.000
Ag 2.224 2.224 0.000
Sb 0.000 2.224 8.993
Sb 2.224 0.000 1.863
Sb 0.000 0.000 5.428
Sb 2.224 2.224 5.428
```

Results
**Theoretical density**: 7.58 g/cm³
**Volume**: 214.8 Å³/cell
**Relative energy among the computed polymorphs**: 0 kJ/mol of formula units

Record 11
# LaAgSb2

A relaxed LaAgSb2 crystal (PBE, the Alexandria database).

Geometry as extended XYZ:
```
4
Lattice="6.058 0.011 -0.021 2.599 5.472 0.021 -4.319 -2.757 3.232" Properties=species:S:1:pos:R:3 pbc="T T T"
Sb 8.657 5.482 0.000
Sb 4.330 2.742 0.000
Ag 3.034 -0.002 1.606
La 1.305 2.728 1.626
```

Results
**Theoretical density**: 7.60 g/cm³
**Volume**: 107.1 Å³/cell
**Relative energy among the computed polymorphs**: 110 kJ/mol of formula units

Record 12
# LaAgSb

A relaxed LaAgSb crystal (PBE, the Alexandria database).

Geometry as extended XYZ:
```
3
Lattice="4.951 0.000 0.000 2.476 4.288 0.000 2.476 1.429 4.043" Properties=species:S:1:pos:R:3 pbc="T T T"
Sb 4.951 2.859 2.021
Ag 7.427 4.288 3.032
La 0.000 0.000 0.000
```

Results
**Theoretical density**: 7.13 g/cm³
**Volume**: 85.8 Å³/cell
**DFT total energy**: -4.58 eV/atom

Record 13
# LaAg2Sb2

A relaxed LaAg2Sb2 crystal (PBE, the Alexandria database).

Geometry as extended XYZ:
```
5
Lattice="4.357 0.000 0.000 0.000 4.357 0.000 2.178 2.178 6.768" Properties=species:S:1:pos:R:3 pbc="T T T"
Sb 2.178 2.178 1.524
Sb 4.357 4.357 5.244
Ag 4.357 2.178 3.384
Ag 2.178 4.357 3.384
La 0.000 0.000 0.000
```

Results
**Theoretical density**: 7.73 g/cm³
**Volume**: 128.5 Å³/cell
**Relative energy among the computed polymorphs**: 48 kJ/mol of formula units

Record 14
# La2AgSb

A relaxed La2AgSb crystal (PBE, the Alexandria database).

Geometry as extended XYZ:
```
8
Lattice="-3.366 1.563 -7.447 1.623 -7.808 -2.373 -4.314 -4.240 -3.589" Properties=species:S:1:pos:R:3 pbc="T T T"
Sb 0.000 0.000 0.000
Sb -4.276 -2.899 -7.973
Ag -0.871 -3.123 -4.910
Ag -1.781 -7.585 -5.436
La -2.939 -1.078 -5.758
La -0.526 -5.726 -3.401
La -3.870 -5.616 -6.403
La -4.780 -8.549 -11.255
```

Results
**Theoretical density**: 6.32 g/cm³
**Volume**: 266.8 Å³/cell
**DFT total energy**: -4.65 eV/atom

Record 15
# LaAgSb4

A relaxed LaAgSb4 crystal (PBE, the Alexandria database).

Geometry as extended XYZ:
```
6
Lattice="0.000 4.412 4.412 4.412 0.000 4.412 4.412 4.412 0.000" Properties=species:S:1:pos:R:3 pbc="T T T"
La 0.000 0.000 0.000
Ag 6.618 6.618 6.618
Sb 3.321 5.503 5.503
Sb 5.503 5.503 3.321
Sb 5.503 3.321 5.503
Sb 3.321 3.321 3.321
```

Results
**Theoretical density**: 7.09 g/cm³
**Volume**: 171.7 Å³/cell
**DFT total energy**: -4.15 eV/atom

Record 16
# LaAg3Sb

A relaxed LaAg3Sb crystal (PBE, the Alexandria database).

Geometry as extended XYZ:
```
5
Lattice="-5.364 -0.149 -1.387 0.747 -4.962 -2.354 -1.179 -2.465 4.822" Properties=species:S:1:pos:R:3 pbc="T T T"
Sb -2.898 -3.788 0.540
Ag 0.373 -2.481 -1.177
Ag -0.589 -1.233 2.411
Ag -2.682 -0.075 -0.694
La 0.000 0.000 0.000
```

Results
**Theoretical density**: 5.70 g/cm³
**Volume**: 170.3 Å³/cell
**Relative energy among the computed polymorphs**: 378 kJ/mol of formula units

Record 17
# La3Ag3Sb4

A relaxed La3Ag3Sb4 crystal (PBE, the Alexandria database).

Geometry as extended XYZ:
```
20
Lattice="8.367 0.000 -2.958 -4.184 7.246 -2.958 0.000 0.000 8.875" Properties=species:S:1:pos:R:3 pbc="T T T"
La 2.092 5.435 3.698
La 6.276 1.812 2.219
La -0.523 2.717 0.740
La 2.615 0.906 5.177
La -1.569 6.341 -2.219
La 3.661 4.529 -0.740
Ag -2.092 5.435 0.740
Ag 2.092 1.812 -0.740
Ag 1.569 6.341 -2.219
Ag 4.707 4.529 2.219
Ag 0.523 2.717 3.698
Ag 5.753 0.906 5.177
Sb 0.000 0.000 2.950
Sb 2.793 2.408 1.975
Sb 4.885 1.215 -0.983
Sb 0.000 0.000 7.387
Sb 4.873 3.623 -3.942
Sb 0.701 6.032 0.496
Sb 0.689 3.623 -2.462
Sb -1.390 4.838 3.454
```

Results
**Theoretical density**: 7.57 g/cm³
**Volume**: 538.1 Å³/cell
**DFT total energy**: -4.76 eV/atom

Record 18
# LaAgSb2

A relaxed LaAgSb2 crystal (PBE, the Alexandria database).

Geometry as extended XYZ:
```
8
Lattice="8.259 0.000 0.000 0.000 8.259 0.000 4.130 4.130 3.294" Properties=species:S:1:pos:R:3 pbc="T T T"
Sb 5.836 2.065 0.823
Sb 2.423 6.194 0.823
Sb 6.194 6.553 2.470
Sb 10.324 9.966 2.470
Ag 4.130 4.130 0.000
Ag 4.130 8.259 1.647
La 0.000 0.000 0.000
La 8.259 4.130 1.647
```

Results
**Theoretical density**: 7.25 g/cm³
**Volume**: 224.7 Å³/cell
**Relative energy among the computed polymorphs**: 88 kJ/mol of formula units

Record 19
# LaAgSb2

A relaxed LaAgSb2 crystal (PBE, the Alexandria database).

Geometry as extended XYZ:
```
4
Lattice="-1.493 1.389 -3.443 -3.225 -0.336 2.345 0.958 6.666 2.274" Properties=species:S:1:pos:R:3 pbc="T T T"
Sb 0.027 0.187 0.064
Sb 0.452 3.146 1.073
Ag -2.119 2.193 0.020
La -1.640 5.526 1.157
```

Results
**Theoretical density**: 7.36 g/cm³
**Volume**: 110.7 Å³/cell
**Relative energy among the computed polymorphs**: 139 kJ/mol of formula units

Record 20
# LaAg2Sb

A relaxed LaAg2Sb crystal (PBE, the Alexandria database).

Geometry as extended XYZ:
```
4
Lattice="4.825 -0.011 0.000 2.418 4.175 0.000 2.409 1.385 5.037" Properties=species:S:1:pos:R:3 pbc="T T T"
Sb 2.413 1.387 0.758
Ag 7.242 4.164 0.167
Ag 7.241 4.163 4.111
La 4.825 2.774 2.521
```

Results
**Theoretical density**: 7.79 g/cm³
**Volume**: 101.6 Å³/cell
**DFT total energy**: -4.12 eV/atom